# 1
CoNi2Au | the Alexandria database | SCAN | single point on PBEsol structure; ΔE_f = 0.14 eV per atom; SG = No. 10; size of the total moment = 3.3 μB/cell; mass density = 12.71 g cm⁻³
1.0
4.4082 0.0000 0.0000
0.0000 2.6344 0.0000
-1.4458 0.0000 4.2001
Co Ni Au
1 2 1
direct
0.0000 0.0000 0.0000
0.5000 0.0000 0.5000
0.5000 0.5000 0.0000
0.0000 0.5000 0.5000

=====

# 2
CoNi6Au | the Alexandria database | SCAN | single point on PBEsol structure; ΔE_f = 0.05 eV per atom; SG = No. 65; size of the total moment = 25.4 μB/cell; mass density = 11.24 g cm⁻³
1.0
3.5416 -5.0253 0.0000
3.5416 5.0253 0.0000
0.0000 0.0000 10.0971
Co Ni Au
4 24 4
direct
0.0000 0.0000 0.2476
0.0000 0.0000 0.7524
0.2508 0.7492 0.0000
0.7492 0.2508 0.0000
0.0000 0.0000 0.0000
0.0000 0.0000 0.5000
0.1149 0.3706 0.1191
0.1149 0.3706 0.8809
0.1177 0.3629 0.3680
0.1177 0.3629 0.6320
0.2445 0.7555 0.2399
0.2445 0.7555 0.7601
0.3629 0.1177 0.3680
0.3629 0.1177 0.6320
0.3706 0.1149 0.1191
0.3706 0.1149 0.8809
0.5000 0.5000 0.0000
0.5000 0.5000 0.5000
0.6294 0.8851 0.1191
0.6294 0.8851 0.8809
0.6371 0.8823 0.3680
0.6371 0.8823 0.6320
0.7555 0.2445 0.2399
0.7555 0.2445 0.7601
0.8823 0.6371 0.3680
0.8823 0.6371 0.6320
0.8851 0.6294 0.1191
0.8851 0.6294 0.8809
0.2540 0.7460 0.5000
0.5000 0.5000 0.2469
0.5000 0.5000 0.7531
0.7460 0.2540 0.5000

=====

# 3
CoNiAu | the Alexandria database | SCAN | single point on PBEsol structure; ΔE_f = 0.07 eV per atom; SG = No. 107; size of the total moment = 2.6 μB/cell; mass density = 13.71 g cm⁻³; polymorph energy (0 for the lowest one) = 0 meV per atom
1.0
-1.4823 1.4823 4.3353
1.4823 -1.4823 4.3353
1.4823 1.4823 -4.3353
Co Ni Au
1 1 1
direct
0.0000 0.0000 0.0000
0.3675 0.3675 0.0000
0.6855 0.6855 0.0000

=====

# 4
Co2NiAu | the Alexandria database | SCAN | single point on PBEsol structure; ΔE_f = 0.21 eV per atom; SG = No. 160; size of the total moment = 4.4 μB/cell; mass density = 12.54 g cm⁻³
1.0
1.3119 0.7575 8.2956
-1.3119 0.7575 8.2956
0.0000 -1.5149 8.2956
Co Ni Au
2 1 1
direct
0.0000 0.0000 0.0000
0.2588 0.2588 0.2588
0.7435 0.7435 0.7435
0.5005 0.5005 0.5005

=====

# 5
CoNiAu | the Alexandria database | SCAN | single point on PBEsol structure; ΔE_f = 0.41 eV per atom; SG = No. 216; size of the total moment = 2.6 μB/cell; mass density = 11.83 g cm⁻³; polymorph energy (0 for the lowest one) = 340 meV per atom
1.0
0.0000 2.8057 2.8057
2.8057 0.0000 2.8057
2.8057 2.8057 0.0000
Co Ni Au
1 1 1
direct
0.0000 0.0000 0.0000
0.7500 0.7500 0.7500
0.2500 0.2500 0.2500

=====

# 6
YCoNiAu2 | the Alexandria database | SCAN | single point on PBEsol structure; ΔE_f = 0.52 eV per atom; SG = No. 123; size of the total moment = 1.9 μB/cell; mass density = 9.86 g cm⁻³
1.0
4.6886 0.0000 0.0000
0.0000 4.6886 0.0000
0.0000 0.0000 4.6006
Y Co Ni Au
1 1 1 2
direct
0.0000 0.0000 0.0000
0.0000 0.0000 0.5000
0.5000 0.5000 0.0000
0.0000 0.5000 0.5000
0.5000 0.0000 0.5000

=====

# 7
CoAuO2 | the Alexandria database | SCAN | single point on PBEsol structure; E_form (uncorrected) = -4.14 eV/f.u.; SG = No. 194; size of the total moment = 0.0 μB/cell; mass density = 11.10 g cm⁻³
1.0
2.8606 0.0000 0.0000
-1.4303 2.4773 0.0000
0.0000 0.0000 12.1577
Co Au O
2 2 4
direct
0.0000 0.0000 0.0000
0.0000 0.0000 0.5000
0.3333 0.6667 0.2500
0.6667 0.3333 0.7500
0.3333 0.6667 0.0775
0.3333 0.6667 0.4225
0.6667 0.3333 0.5775
0.6667 0.3333 0.9225

=====

# 8
CoAuO2 | the Alexandria database | SCAN | single point on PBEsol structure; E_form (uncorrected) = -4.14 eV/f.u.; SG = No. 166; size of the total moment = 0.0 μB/cell; mass density = 11.10 g cm⁻³
1.0
1.4304 0.8258 6.0780
-1.4304 0.8258 6.0780
0.0000 -1.6517 6.0780
Co Au O
1 1 2
direct
0.0000 0.0000 0.0000
0.5000 0.5000 0.5000
0.3849 0.3849 0.3849
0.6151 0.6151 0.6151